Record 1
4
Lattice="-3.704 -2.378 2.730 -3.263 -2.461 -3.182 5.165 -0.017 0.386" Properties=species:S:1:pos:R:3 comment="CaCoAg2 | the Alexandria database | PBE | optimized geometry" final_energy_ev_per_atom=-3.4939 spacegroup=I-4m2 magnetic_moment_mub_per_fu=1.1 e_above_lowest_polymorph_mev_per_atom=8 formation_enthalpy_0k_ev_per_atom=0.209 pbc="T T T"
Ca -3.484 -2.419 -0.226
Ag 0.000 0.000 0.000
Ag -0.791 -2.448 -1.511
Co -1.011 -2.407 1.445

Record 2
4
Lattice="-3.521 -3.157 0.644 0.810 -4.652 -0.693 0.121 -2.982 3.724" Properties=species:S:1:pos:R:3 comment="CaCoAg2 | the Alexandria database | PBE | optimized geometry" final_energy_ev_per_atom=-3.4496 spacegroup=F-43m magnetic_moment_mub_per_fu=1.7 e_above_lowest_polymorph_mev_per_atom=52 formation_enthalpy_0k_ev_per_atom=0.253 pbc="T T T"
Ag 0.000 0.000 0.000
Co -1.942 -8.093 2.756
Ca -1.295 -5.396 1.837
Ag -0.647 -2.698 0.919

Record 3
6
Lattice="0.000 4.585 4.585 4.585 0.000 4.585 4.585 4.585 0.000" Properties=species:S:1:pos:R:3 comment="Ca4CoAg | the Alexandria database | PBE | optimized geometry" final_energy_ev_per_atom=-2.1737 spacegroup=F-43m magnetic_moment_mub_per_fu=0.8 formation_enthalpy_0k_ev_per_atom=0.820 pbc="T T T"
Ag 0.000 0.000 0.000
Co 6.878 6.878 6.878
Ca 5.729 5.729 3.442
Ca 5.729 3.442 5.729
Ca 3.442 3.442 3.442
Ca 3.442 5.729 5.729

Record 4
6
Lattice="0.000 3.521 3.521 3.521 0.000 3.521 3.521 3.521 0.000" Properties=species:S:1:pos:R:3 comment="CaCo4Ag | the Alexandria database | PBE | optimized geometry" final_energy_ev_per_atom=-5.3814 spacegroup=F-43m magnetic_moment_mub_per_fu=6.3 formation_enthalpy_0k_ev_per_atom=0.165 pbc="T T T"
Co 4.398 4.398 2.644
Ag 5.281 5.281 5.281
Co 2.644 4.398 4.398
Co 4.398 2.644 4.398
Co 2.644 2.644 2.644
Ca 0.000 0.000 0.000

Record 5
5
Lattice="-4.995 0.061 -1.659 -1.619 -1.351 4.823 -0.370 5.087 1.300" Properties=species:S:1:pos:R:3 comment="CaCoAg3 | the Alexandria database | PBE | optimized geometry" final_energy_ev_per_atom=-2.1074 spacegroup=Pm-3m magnetic_moment_mub_per_fu=2.3 e_above_lowest_polymorph_mev_per_atom=1062 formation_enthalpy_0k_ev_per_atom=1.425 pbc="T T T"
Ag -0.185 2.544 0.650
Ag -0.809 -0.675 2.412
Co -3.492 1.899 2.232
Ca 0.000 0.000 0.000
Ag -2.498 0.030 -0.830

Record 6
4
Lattice="-3.244 0.105 -4.097 4.995 -2.391 -0.929 -0.703 -2.881 -0.012" Properties=species:S:1:pos:R:3 comment="CaCoAg2 | the Alexandria database | PBE | optimized geometry" final_energy_ev_per_atom=-3.3779 spacegroup=C2/m magnetic_moment_mub_per_fu=1.1 e_above_lowest_polymorph_mev_per_atom=124 formation_enthalpy_0k_ev_per_atom=0.325 pbc="T T T"
Ag 0.000 0.000 0.000
Co 0.876 -1.143 -2.513
Ag -1.974 -1.388 -2.054
Ca 2.146 -2.636 -0.471

Record 7
6
Lattice="2.030 4.075 3.125 -2.538 1.401 4.700 2.354 -1.157 4.860" Properties=species:S:1:pos:R:3 comment="CaCoAg4 | the Alexandria database | PBE | optimized geometry" final_energy_ev_per_atom=-3.2250 spacegroup=F-43m magnetic_moment_mub_per_fu=1.4 formation_enthalpy_0k_ev_per_atom=0.194 pbc="T T T"
Ag -0.583 2.321 7.110
Ca 1.384 3.239 9.514
Ag 0.691 1.617 4.750
Ag 1.873 1.036 7.190
Co 0.000 0.000 0.000
Ag 1.710 3.664 6.319

Record 8
4
Lattice="-2.191 3.961 0.597 -1.496 -1.189 2.397 3.267 1.136 4.447" Properties=species:S:1:pos:R:3 comment="CaCoAg2 | the Alexandria database | PBE | optimized geometry" final_energy_ev_per_atom=-3.4482 spacegroup=P2/m magnetic_moment_mub_per_fu=1.3 e_above_lowest_polymorph_mev_per_atom=53 formation_enthalpy_0k_ev_per_atom=0.254 pbc="T T T"
Ag 1.806 0.016 6.518
Co 0.233 1.941 5.432
Ag 0.851 -0.095 3.748
Ca -0.653 1.968 2.010

Record 9
5
Lattice="-1.622 4.255 2.660 -4.404 -2.547 1.389 2.406 -1.794 4.336" Properties=species:S:1:pos:R:3 comment="Ca3CoAg | the Alexandria database | PBE | optimized geometry" final_energy_ev_per_atom=-3.0217 spacegroup=Pm-3m magnetic_moment_mub_per_fu=0.0 e_above_lowest_polymorph_mev_per_atom=0 formation_enthalpy_0k_ev_per_atom=0.171 pbc="T T T"
Co 0.000 0.000 0.000
Ca 1.203 -0.897 2.168
Ag -1.810 -0.043 4.193
Ca -0.811 2.127 1.330
Ca -2.202 -1.273 0.695

Record 10
4
Lattice="-2.865 -0.754 1.845 -1.669 -0.679 -2.870 0.230 -6.987 -2.500" Properties=species:S:1:pos:R:3 comment="CaCoAg2 | the Alexandria database | PBE | optimized geometry" final_energy_ev_per_atom=-3.4810 spacegroup=Pm magnetic_moment_mub_per_fu=1.5 e_above_lowest_polymorph_mev_per_atom=20 formation_enthalpy_0k_ev_per_atom=0.221 pbc="T T T"
Ag -1.861 -2.066 -0.433
Co -2.426 -6.416 -3.089
Ag 0.186 -6.841 -2.509
Ca -0.694 -3.918 -2.679

Record 11
5
Lattice="4.978 0.000 0.000 0.000 5.341 0.000 0.000 0.000 4.978" Properties=species:S:1:pos:R:3 comment="CaCr2CoAg | the Alexandria database | PBE | optimized geometry" final_energy_ev_per_atom=-4.6972 spacegroup=P4/mmm magnetic_moment_mub_per_fu=8.9 formation_enthalpy_0k_ev_per_atom=1.544 pbc="T T T"
Cr 0.000 0.000 2.489
Ca 0.000 2.670 0.000
Ag 0.000 0.000 0.000
Co 2.489 2.670 2.489
Cr 2.489 0.000 0.000